[1]
This record from Alexandria describes LiAgRhF6 after structural relaxation. The functional is PBE-GGA.

Computed properties:
Formation energy (no corrections) in eV per atom: -1.784
Space-group type: P-31c

a = 5.2853 Å, b = 5.2853 Å, c = 10.0558 Å
α = 90.00°, β = 90.00°, γ = 120.00°
Element x y z (fractional)
1 Li 0.3333 0.6667 0.2500
2 Li 0.6667 0.3333 0.7500
3 Ag 0.0000 0.0000 0.0000
4 Ag 0.0000 0.0000 0.5000
5 Rh 0.3333 0.6667 0.7500
6 Rh 0.6667 0.3333 0.2500
7 F 0.0135 0.3668 0.6410
8 F 0.0135 0.6467 0.8590
9 F 0.3533 0.3668 0.8590
10 F 0.3533 0.9865 0.6410
11 F 0.3668 0.0135 0.1410
12 F 0.3668 0.3533 0.3590
13 F 0.6332 0.6467 0.6410
14 F 0.6332 0.9865 0.8590
15 F 0.6467 0.0135 0.3590
16 F 0.6467 0.6332 0.1410
17 F 0.9865 0.3533 0.1410
18 F 0.9865 0.6332 0.3590

[2]
This record from Alexandria describes LaSmZr after structural relaxation. The functional is PBE-GGA.

Computed properties:
Polymorph energy (0 for the lowest one) in meV/atom: 56.3
Space-group type: P3m1

a = 3.4851 Å, b = 3.4851 Å, c = 8.6254 Å
α = 90.00°, β = 90.00°, γ = 120.00°
Element x y z (fractional)
1 La 0.0000 0.0000 0.0000
2 Sm 0.6667 0.3333 0.3746
3 Zr 0.3333 0.6667 0.6833

[3]
This record from Alexandria describes Ti5P4O20 after structural relaxation. The functional is PBE-GGA.

Computed properties:
Formation energy (no corrections) in eV per atom: -2.650
Space-group type: P2_12_12_1

a = 7.6133 Å, b = 12.9907 Å, c = 14.5707 Å
α = 90.00°, β = 90.00°, γ = 90.00°
Element x y z (fractional)
1 Ti 0.0948 0.1347 0.1705
2 Ti 0.1079 0.8562 0.8231
3 Ti 0.1238 0.3771 0.0577
4 Ti 0.1480 0.6170 0.9456
5 Ti 0.1498 0.1068 0.7055
6 Ti 0.3502 0.8932 0.2055
7 Ti 0.3520 0.3830 0.4456
8 Ti 0.3762 0.6229 0.5577
9 Ti 0.3921 0.1438 0.3231
10 Ti 0.4052 0.8653 0.6705
11 Ti 0.5948 0.3653 0.8295
12 Ti 0.6079 0.6438 0.1769
13 Ti 0.6238 0.1229 0.9423
14 Ti 0.6480 0.8830 0.0544
15 Ti 0.6498 0.3932 0.2945
16 Ti 0.8502 0.6068 0.7945
17 Ti 0.8520 0.1170 0.5544
18 Ti 0.8762 0.8771 0.4423
19 Ti 0.8921 0.3562 0.6769
20 Ti 0.9052 0.6347 0.3295
21 P 0.0008 0.7564 0.1279
22 P 0.0221 0.7425 0.6215
23 P 0.2341 0.0045 0.5006
24 P 0.2392 0.4894 0.7464
25 P 0.2608 0.5106 0.2464
26 P 0.2659 0.9955 0.0006
27 P 0.4779 0.2575 0.1215
28 P 0.4992 0.2436 0.6279
29 P 0.5008 0.7436 0.8721
30 P 0.5221 0.7575 0.3785
31 P 0.7341 0.4955 0.4994
32 P 0.7392 0.0106 0.2536
33 P 0.7608 0.9894 0.7536
34 P 0.7659 0.5045 0.9994
35 P 0.9779 0.2425 0.8785
36 P 0.9992 0.2564 0.3721
37 O 0.0382 0.7351 0.8612
38 O 0.0409 0.2512 0.1209
39 O 0.0915 0.1720 0.8169
40 O 0.0935 0.6906 0.0551
41 O 0.0947 0.3114 0.9369
42 O 0.1133 0.1861 0.3080
43 O 0.1163 0.9320 0.4460
44 O 0.1169 0.4132 0.6954
45 O 0.1188 0.5528 0.8126
46 O 0.1210 0.0750 0.5665
47 O 0.1231 0.3332 0.4202
48 O 0.1256 0.5715 0.3031
49 O 0.1382 0.0560 0.0616
50 O 0.1392 0.8114 0.6863
51 O 0.1401 0.6763 0.5607
52 O 0.1396 0.8148 0.1839
53 O 0.1635 0.9238 0.9357
54 O 0.1662 0.4400 0.1791
55 O 0.1999 0.4991 0.9968
56 O 0.2303 0.9877 0.7416
57 O 0.2697 0.0123 0.2416
58 O 0.3001 0.5009 0.4968
59 O 0.3338 0.5600 0.6791
60 O 0.3365 0.0762 0.4357
61 O 0.3604 0.1852 0.6839
62 O 0.3599 0.3237 0.0607
63 O 0.3608 0.1886 0.1863
64 O 0.3618 0.9440 0.5616
65 O 0.3744 0.4285 0.8031
66 O 0.3769 0.6668 0.9202
67 O 0.3790 0.9250 0.0665
68 O 0.3812 0.4472 0.3126
69 O 0.3831 0.5868 0.1954
70 O 0.3837 0.0680 0.9460
71 O 0.3867 0.8139 0.8080
72 O 0.4053 0.6886 0.4369
73 O 0.4065 0.3094 0.5551
74 O 0.4085 0.8280 0.3169
75 O 0.4591 0.7488 0.6209
76 O 0.4618 0.2649 0.3612
77 O 0.5382 0.7649 0.1388
78 O 0.5409 0.2488 0.8791
79 O 0.5915 0.3280 0.1831
80 O 0.5935 0.8094 0.9449
81 O 0.5947 0.1886 0.0631
82 O 0.6133 0.3139 0.6920
83 O 0.6163 0.5680 0.5540
84 O 0.6169 0.0868 0.3046
85 O 0.6188 0.9472 0.1874
86 O 0.6210 0.4250 0.4335
87 O 0.6231 0.1668 0.5798
88 O 0.6256 0.9285 0.6969
89 O 0.6382 0.4440 0.9384
90 O 0.6392 0.6886 0.3137
91 O 0.6396 0.6852 0.8161
92 O 0.6401 0.8237 0.4393
93 O 0.6635 0.5762 0.0643
94 O 0.6662 0.0600 0.8209
95 O 0.6999 0.0009 0.0032
96 O 0.7303 0.5123 0.2584
97 O 0.7697 0.4877 0.7584
98 O 0.8001 0.9991 0.5032
99 O 0.8338 0.9400 0.3209
100 O 0.8365 0.4238 0.5643
101 O 0.8599 0.1763 0.9393
102 O 0.8604 0.3148 0.3161
103 O 0.8608 0.3114 0.8137
104 O 0.8618 0.5560 0.4384
105 O 0.8744 0.0715 0.1969
106 O 0.8769 0.8332 0.0798
107 O 0.8790 0.5750 0.9335
108 O 0.8812 0.0528 0.6874
109 O 0.8831 0.9132 0.8046
110 O 0.8837 0.4320 0.0540
111 O 0.8867 0.6861 0.1920
112 O 0.9053 0.8114 0.5631
113 O 0.9065 0.1906 0.4449
114 O 0.9085 0.6720 0.6831
115 O 0.9591 0.7512 0.3791
116 O 0.9618 0.2351 0.6388

[4]
This record from Alexandria describes AlHIrRh2 after structural relaxation. The functional is PBE-GGA.

Computed properties:
Polymorph energy (0 for the lowest one) in meV/atom: 0.0
Space-group type: P4/mmm

a = 3.8904 Å, b = 3.8904 Å, c = 3.9193 Å
α = 90.00°, β = 90.00°, γ = 90.00°
Element x y z (fractional)
1 Al 0.0000 0.0000 0.0000
2 H 0.5000 0.5000 0.5000
3 Ir 0.5000 0.5000 0.0000
4 Rh 0.0000 0.5000 0.5000
5 Rh 0.5000 0.0000 0.5000

[5]
This record from Alexandria describes Ca2CdReO6 after structural relaxation. The functional is PBE-GGA.

Computed properties:
Formation energy (no corrections) in eV per atom: -1.946
Space-group type: P4mm

a = 5.4288 Å, b = 5.4288 Å, c = 5.2612 Å
α = 90.00°, β = 90.00°, γ = 90.00°
Element x y z (fractional)
1 Ca 0.0000 0.5000 0.0000
2 Ca 0.5000 0.0000 0.0000
3 Cd 0.0000 0.0000 0.5515
4 Re 0.5000 0.5000 0.6102
5 O 0.0000 0.0000 0.1531
6 O 0.2704 0.2704 0.7466
7 O 0.2704 0.7296 0.7466
8 O 0.5000 0.5000 0.2722
9 O 0.7296 0.2704 0.7466
10 O 0.7296 0.7296 0.7466

[6]
This record from Alexandria describes Sm3MgC after structural relaxation. The functional is PBE-GGA.

Computed properties:
Polymorph energy (0 for the lowest one) in meV/atom: 0.0
Space-group type: Pm-3m

a = 5.1018 Å, b = 5.1018 Å, c = 5.1018 Å
α = 90.00°, β = 90.00°, γ = 90.00°
Element x y z (fractional)
1 Sm 0.0000 0.0000 0.5000
2 Sm 0.0000 0.5000 0.0000
3 Sm 0.5000 0.0000 0.0000
4 Mg 0.5000 0.5000 0.5000
5 C 0.0000 0.0000 0.0000

[7]
This record from Alexandria describes Ni3Sn2Ge after structural relaxation. The functional is PBE-GGA.

Computed properties:
Polymorph energy (0 for the lowest one) in meV/atom: 88.9
Space-group type: C2/c

a = 6.4895 Å, b = 6.4895 Å, c = 6.4947 Å
α = 96.39°, β = 96.39°, γ = 132.67°
Element x y z (fractional)
1 Ni 0.0000 0.0000 0.0000
2 Ni 0.0000 0.0000 0.5000
3 Ni 0.2261 0.5490 0.5492
4 Ni 0.4510 0.7739 0.9508
5 Ni 0.5490 0.2261 0.0492
6 Ni 0.7739 0.4510 0.4508
7 Sn 0.1808 0.8192 0.2500
8 Sn 0.4685 0.5315 0.2500
9 Sn 0.5315 0.4685 0.7500
10 Sn 0.8192 0.1808 0.7500
11 Ge 0.1580 0.8420 0.7500
12 Ge 0.8420 0.1580 0.2500

[8]
This record from Alexandria describes Cs4Ac3CrSe8 after structural relaxation. The functional is PBE-GGA.

Computed properties:
Formation energy (no corrections) in eV per atom: -1.457
Space-group type: R-3m

a = 9.8708 Å, b = 9.8708 Å, c = 9.8708 Å
α = 53.89°, β = 53.89°, γ = 53.89°
Element x y z (fractional)
1 Cs 0.0000 0.0000 0.0000
2 Cs 0.0000 0.5000 0.5000
3 Cs 0.5000 0.0000 0.5000
4 Cs 0.5000 0.5000 0.0000
5 Ac 0.0000 0.0000 0.5000
6 Ac 0.0000 0.5000 0.0000
7 Ac 0.5000 0.0000 0.0000
8 Cr 0.5000 0.5000 0.5000
9 Se 0.2342 0.2342 0.2342
10 Se 0.2643 0.7090 0.7090
11 Se 0.2910 0.2910 0.7357
12 Se 0.2910 0.7357 0.2910
13 Se 0.7090 0.2643 0.7090
14 Se 0.7090 0.7090 0.2643
15 Se 0.7357 0.2910 0.2910
16 Se 0.7658 0.7658 0.7658

[9]
This record from Alexandria describes TlPI3 after structural relaxation. The functional is PBE-GGA.

Computed properties:
Polymorph energy (0 for the lowest one) in meV/atom: 0.0
Formation energy (no corrections) in eV per atom: -0.253
Space-group type: P-1

a = 5.0919 Å, b = 8.4056 Å, c = 11.0791 Å
α = 98.77°, β = 95.25°, γ = 95.30°
Element x y z (fractional)
1 Tl 0.2247 0.0639 0.3388
2 Tl 0.7753 0.9361 0.6612
3 P 0.3469 0.5868 0.0121
4 P 0.6531 0.4132 0.9879
5 I 0.2250 0.7584 0.4971
6 I 0.2931 0.6344 0.7942
7 I 0.3241 0.1785 0.8889
8 I 0.6759 0.8215 0.1111
9 I 0.7069 0.3656 0.2058
10 I 0.7750 0.2416 0.5029

[10]
This record from Alexandria describes SmTmRuPt after structural relaxation. The functional is PBE-GGA.

Computed properties:
Polymorph energy (0 for the lowest one) in meV/atom: 0.0
Space-group type: P4mm

a = 3.4719 Å, b = 3.4719 Å, c = 6.8673 Å
α = 90.00°, β = 90.00°, γ = 90.00°
Element x y z (fractional)
1 Sm 0.0000 0.0000 0.0000
2 Tm 0.0000 0.0000 0.4891
3 Ru 0.5000 0.5000 0.2543
4 Pt 0.5000 0.5000 0.7292

[11]
This record from Alexandria describes LiYCl2 after structural relaxation. The functional is PBE-GGA.

Computed properties:
Polymorph energy (0 for the lowest one) in meV/atom: 450.0
Formation energy (no corrections) in eV per atom: -1.056
Space-group type: Fm-3m

a = 4.8496 Å, b = 4.8496 Å, c = 4.8496 Å
α = 60.00°, β = 60.00°, γ = 60.00°
Element x y z (fractional)
1 Li 0.0000 0.0000 0.0000
2 Y 0.5000 0.5000 0.5000
3 Cl 0.2500 0.2500 0.2500
4 Cl 0.7500 0.7500 0.7500

[12]
This record from Alexandria describes Ac4GeTe2Cl after structural relaxation. The functional is PBE-GGA.

Computed properties:
Formation energy (no corrections) in eV per atom: -1.358
Space-group type: P2/m

a = 7.8184 Å, b = 4.6037 Å, c = 8.2110 Å
α = 90.00°, β = 109.06°, γ = 90.00°
Element x y z (fractional)
1 Ac 0.2345 0.0000 0.2242
2 Ac 0.2468 0.5000 0.7703
3 Ac 0.7532 0.5000 0.2297
4 Ac 0.7655 0.0000 0.7758
5 Ge 0.0000 0.5000 0.0000
6 Te 0.0000 0.0000 0.5000
7 Te 0.5000 0.5000 0.5000
8 Cl 0.5000 0.0000 0.0000